## TmUPd (PBE)

Data for a relaxed structure of TmUPd.

abc: 10.9699 3.4731 7.0434
angles: 90.00 105.16 90.00
Last column: nearest neighbours and their distance in Å.
Fractional coordinates of all 12 atoms:
Tm (0.1444, 0.0000, 0.0716)  4 Pd 3.01-3.06, 3 Tm 3.06-3.26, 3 U 3.27-3.35
Tm (0.3556, 0.5000, 0.9284)  4 Pd 3.01-3.06, 3 Tm 3.06-3.26, 3 U 3.27-3.35
Tm (0.6444, 0.5000, 0.0716)  4 Pd 3.01-3.06, 3 Tm 3.06-3.26, 3 U 3.27-3.35
Tm (0.8556, 0.0000, 0.9284)  4 Pd 3.01-3.06, 3 Tm 3.06-3.26, 3 U 3.27-3.35
U (0.1855, 0.0000, 0.5596)  2 U 2.52
U (0.3145, 0.5000, 0.4404)  2 U 2.52
U (0.6855, 0.5000, 0.5596)  2 U 2.52
U (0.8145, 0.0000, 0.4404)  2 U 2.52
Pd (0.0159, 0.5000, 0.7288)  4 Tm 3.01-3.06, 4 U 3.01-3.11, 1 Pd 3.15
Pd (0.4841, 0.0000, 0.2712)  4 Tm 3.01-3.06, 4 U 3.01-3.11, 1 Pd 3.15
Pd (0.5159, 0.0000, 0.7288)  4 Tm 3.01-3.06, 4 U 3.01-3.11, 1 Pd 3.15
Pd (0.9841, 0.5000, 0.2712)  4 Tm 3.01-3.06, 4 U 3.01-3.11, 1 Pd 3.15

Properties
SG ... C2/m, No. 12
Final energy ... -7.301 eV per atom
Theoretical density ... 13.17 g/cm3
Energy of formation ... -0.3171 eV/atom